Version w
BaZn2I | PBE | optimized geometry

Fermi-level density of states: 0.5917 states/eV per atom

Cell lengths 9.2760, 9.2760, 6.7310 Å; angles 90.00, 90.00, 90.00 degrees
With the nearest neighbours (Å) after each atom.
Space group I-42d (No. 122)
Unique sites:
Ba 0.0000 0.0000 0.0000 x4  2 I 3.37, 4 Zn 3.46
Zn 0.2385 0.7500 0.6250 x8  2 I 3.31, 2 Zn 3.37, 2 Ba 3.46
I 0.0000 0.0000 0.5000 x4  4 Zn 3.31, 2 Ba 3.37


Version x
BaZn2I | PBE | optimized geometry

Fermi-level density of states: 0.6668 states/eV per atom

Cell lengths 8.0475, 8.0475, 8.0475 Å; angles 90.00, 90.00, 90.00 degrees
With the nearest neighbours (Å) after each atom.
Space group Fm-3m (No. 225)
Unique sites:
Ba 0.0000 0.0000 0.0000 x4  8 Zn 3.48
Zn 0.2500 0.2500 0.2500 x8  4 Ba 3.48, 4 I 3.48
I 0.0000 0.0000 0.5000 x4  8 Zn 3.48


version w has the most favorable energy; the next structure is 0.068 eV/atom above.


Version w
Ba2ZnI | PBE | optimized geometry

Fermi-level density of states: 0.8671 states/eV per atom

Cell lengths 4.6067, 26.9637, 5.3018 Å; angles 90.00, 90.00, 90.00 degrees
With the nearest neighbours (Å) after each atom.
Space group Cmcm (No. 63)
Unique sites:
Ba 0.0000 0.0561 0.2500 x4  6 Zn 3.46-3.54, 1 I 3.77
Ba 0.0000 0.3318 0.2500 x4  1 Zn 3.46, 5 I 3.59-3.66
Zn 0.0000 0.4602 0.2500 x4  2 Zn 3.41, 7 Ba 3.46-3.54
I 0.0000 0.1960 0.2500 x4  6 Ba 3.59-3.77


Version x
Ba2ZnI | PBE | optimized geometry

Fermi-level density of states: 1.0484 states/eV per atom

Cell lengths 4.7613, 4.7613, 27.0056 Å; angles 90.00, 90.00, 120.00 degrees
With the nearest neighbours (Å) after each atom.
Space group R-3m (No. 166, hexagonal axes)
Unique sites:
Ba 0.0000 0.0000 0.2411 x6  3 Zn 3.41, 3 I 3.71
Zn 0.0000 0.0000 0.5000 x3  6 Ba 3.41
I 0.0000 0.0000 0.0000 x3  6 Ba 3.71


version w has the most favorable energy; the next structure is 0.010 eV/atom above.


Version w
Ba2ZnI | PBE | optimized geometry

Fermi-level density of states: 1.0958 states/eV per atom

Cell lengths 4.1459, 4.1459, 9.1028 Å; angles 90.00, 90.00, 90.00 degrees
With the nearest neighbours (Å) after each atom.
Space group P4/mmm (No. 123)
Unique sites:
Ba 0.0000 0.0000 0.2199 x2  4 Zn 3.55, 4 I 3.89
Zn 0.5000 0.5000 0.0000 x1  8 Ba 3.55
I 0.5000 0.5000 0.5000 x1  8 Ba 3.89, 4 I 4.15


Version x
Ba2ZnI | PBE | optimized geometry

Fermi-level density of states: 0.9028 states/eV per atom

Cell lengths 8.5892, 8.5892, 8.5892 Å; angles 90.00, 90.00, 90.00 degrees
With the nearest neighbours (Å) after each atom.
Space group Fm-3m (No. 225)
Unique sites:
Ba 0.2500 0.2500 0.2500 x8  4 I 3.72, 4 Zn 3.72
Zn 0.0000 0.0000 0.0000 x4  8 Ba 3.72
I 0.0000 0.0000 0.5000 x4  8 Ba 3.72


Version y
Ba2ZnI | PBE | optimized geometry

Fermi-level density of states: 1.0220 states/eV per atom

Cell lengths 4.7360, 4.7360, 27.4467 Å; angles 90.00, 90.00, 120.00 degrees
With the nearest neighbours (Å) after each atom.
Space group R3m (No. 160, hexagonal axes)
Unique sites:
Ba 0.0000 0.0000 0.0000 x3  3 Zn 3.38, 3 I 3.74
Ba 0.0000 0.0000 0.1874 x3  3 Zn 3.40, 3 I 3.77
Zn 0.0000 0.0000 0.5942 x3  6 Ba 3.38-3.40
I 0.0000 0.0000 0.4264 x3  6 Ba 3.74-3.77


version y has the most favorable energy; the next structure is 0.013 eV/atom above.


Version w
Ba2Zn2I | PBE | optimized geometry

Fermi-level density of states: 0.5649 states/eV per atom

Cell lengths 4.6980, 4.6980, 28.4347 Å; angles 90.00, 90.00, 120.00 degrees
With the nearest neighbours (Å) after each atom.
Space group R-3m (No. 166, hexagonal axes)
Unique sites:
Ba 0.0000 0.0000 0.0765 x6  6 Zn 3.47-3.48, 3 I 3.73
Zn 0.0000 0.0000 0.3331 x6  3 Zn 2.71
I 0.0000 0.0000 0.5000 x3  6 Ba 3.73


Version x
Ba2Zn2I | PBE | optimized geometry

Fermi-level density of states: 1.0012 states/eV per atom

Cell lengths 9.5951, 9.5951, 4.3982 Å; angles 90.00, 90.00, 90.00 degrees
With the nearest neighbours (Å) after each atom.
Space group P4/mbm (No. 127)
Unique sites:
Ba 0.1946 0.3054 0.0000 x4  2 I 3.47, 6 Zn 3.65
Zn 0.0904 0.5904 0.5000 x4  1 Zn 2.45
I 0.0000 0.0000 0.0000 x2  4 Ba 3.47


version w has the most favorable energy; the next structure is 0.237 eV/atom above.


Version w
Ba2ZnI2 | PBE | optimized geometry

Fermi-level density of states: 0.5988 states/eV per atom

Cell lengths 9.1290, 9.1290, 5.1473 Å; angles 90.00, 90.00, 90.00 degrees
With the nearest neighbours (Å) after each atom.
Space group P4/mbm (No. 127)
Unique sites:
Ba 0.1661 0.3339 0.0000 x4  2 Zn 3.40, 2 I 3.53
Zn 0.0000 0.0000 0.0000 x2  4 Ba 3.40
I 0.1470 0.6470 0.5000 x4  6 Ba 3.53-3.85, 1 I 3.79


Version x
Ba2ZnI2 | PBE | optimized geometry

Fermi-level density of states: 0.5421 states/eV per atom

Cell lengths 6.6898, 6.6898, 10.7830 Å; angles 90.00, 90.00, 90.00 degrees
With the nearest neighbours (Å) after each atom.
Space group I4/mmm (No. 139)
Unique sites:
Ba 0.0000 0.5000 0.2500 x4  4 I 3.44
Zn 0.0000 0.0000 0.0000 x2  2 I 3.51
I 0.0000 0.0000 0.3254 x4  4 Ba 3.44, 1 Zn 3.51, 1 I 3.77


version w has the most favorable energy; the next structure is 0.125 eV/atom above.


Version w
Ba2ZrI2 | PBE | optimized geometry

Fermi-level density of states: 0.9227 states/eV per atom

Cell lengths 10.1179, 10.1179, 4.0869 Å; angles 90.00, 90.00, 90.00 degrees
With the nearest neighbours (Å) after each atom.
Space group P4/mbm (No. 127)
Unique sites:
Ba 0.1674 0.3326 0.0000 x4  6 I 3.54-3.66, 2 Zr 3.77
Zr 0.0000 0.0000 0.0000 x2  4 Ba 3.77, 2 Zr 4.09
I 0.1309 0.6309 0.5000 x4  6 Ba 3.54-3.66, 1 I 3.75


Version x
Ba2ZrI2 | PBE | optimized geometry

Fermi-level density of states: 0.9192 states/eV per atom

Cell lengths 5.4267, 5.4267, 17.1174 Å; angles 90.00, 90.00, 90.00 degrees
With the nearest neighbours (Å) after each atom.
Space group I4/mmm (No. 139)
Unique sites:
Ba 0.0000 0.0000 0.1228 x4  4 I 3.48
Zr 0.0000 0.0000 0.5000 x2  8 Ba 4.38
I 0.0000 0.5000 0.2500 x4  4 Ba 3.48, 4 I 3.84


version w has the most favorable energy; the next structure is 0.061 eV/atom above.


Version w
BaZrI3 | PBE | optimized geometry

Fermi-level density of states: 3.5818 states/eV per atom

Cell lengths 6.6445, 6.6445, 6.6445 Å; angles 90.00, 90.00, 90.00 degrees
With the nearest neighbours (Å) after each atom.
Space group Pm-3m (No. 221)
Unique sites:
Ba 0.0000 0.0000 0.0000 x1  6 I 3.32
Zr 0.5000 0.5000 0.5000 x1  12 I 4.70
I 0.0000 0.0000 0.5000 x3  2 Ba 3.32


Version x
BaZrI3 | PBE | optimized geometry

Fermi-level density of states: 1.2769 states/eV per atom

Cell lengths 5.8202, 5.8202, 5.8202 Å; angles 90.00, 90.00, 90.00 degrees
With the nearest neighbours (Å) after each atom.
Space group Pm-3m (No. 221)
Unique sites:
Ba 0.0000 0.0000 0.0000 x1  12 I 4.12
Zr 0.5000 0.5000 0.5000 x1  6 I 2.91
I 0.0000 0.5000 0.5000 x3  2 Zr 2.91


version x has the most favorable energy; the next structure is 0.606 eV/atom above.


Version w
Ba5In2 | PBE | optimized geometry

Fermi-level density of states: 1.4564 states/eV per atom

Cell lengths 18.8800, 8.6574, 8.1695 Å; angles 90.00, 91.76, 90.00 degrees
With the nearest neighbours (Å) after each atom.
Space group C2/c (No. 15)
Unique sites:
Ba 0.0000 0.0125 0.2500 x4  4 In 3.62-3.64, 2 Ba 4.03
Ba 0.0856 0.3566 0.9812 x8  2 In 3.50-3.87
Ba 0.2293 0.0265 0.2661 x8  3 In 3.60-3.95
In 0.1126 0.2445 0.5194 x8  6 Ba 3.50-3.87


Version x
Ba5In2 | PBE | optimized geometry

Fermi-level density of states: 0.6872 states/eV per atom

Cell lengths 8.8592, 17.9627, 8.1992 Å; angles 90.00, 90.00, 90.00 degrees
With the nearest neighbours (Å) after each atom.
Space group Ibam (No. 72)
Unique sites:
Ba 0.0000 0.0000 0.2500 x4  4 In 3.75, 8 Ba 4.02-4.17
Ba 0.0000 0.2320 0.2500 x8  4 In 3.65-3.98
Ba 0.1473 0.4176 0.0000 x8  2 In 3.54-3.76, 1 Ba 3.95
In 0.2440 0.3788 0.5000 x8  6 Ba 3.54-3.76


version x has the most favorable energy; the next structure is 0.026 eV/atom above.


Version w
Ba4In5 | PBE | optimized geometry

Fermi-level density of states: 1.0559 states/eV per atom

Cell lengths 11.1530, 11.1530, 5.4558 Å; angles 90.00, 90.00, 90.00 degrees
With the nearest neighbours (Å) after each atom.
Space group I4/mmm (No. 139)
Unique sites:
Ba 0.0000 0.3039 0.0000 x8  5 In 3.39-3.63
In 0.0000 0.0000 0.0000 x2  4 Ba 3.39, 8 In 3.57
In 0.1456 0.1456 0.5000 x8  4 In 3.25-3.57, 4 Ba 3.63


Version x
Ba4In5 | PBE | optimized geometry

Fermi-level density of states: 0.9864 states/eV per atom

Cell lengths 10.3835, 10.3835, 7.3628 Å; angles 90.00, 90.00, 120.00 degrees
With the nearest neighbours (Å) after each atom.
Space group P6_3/mcm (No. 193)
Unique sites:
Ba 0.0000 0.0000 0.0000 x2  2 Ba 3.68, 6 In 3.71
Ba 0.0000 0.3653 0.2500 x6  5 In 3.37-3.73
In 0.0000 0.3105 0.7500 x6  7 Ba 3.37-3.73
In 0.3333 0.6667 0.0000 x4  8 In 3.68-4.03, 6 Ba 3.79


version x has the most favorable energy; the next structure is 0.009 eV/atom above.


Version w
Ba2In3 | PBE | optimized geometry

Fermi-level density of states: 0.7899 states/eV per atom

Cell lengths 5.0538, 5.0538, 27.1066 Å; angles 90.00, 90.00, 120.00 degrees
With the nearest neighbours (Å) after each atom.
Space group R-3m (No. 166, hexagonal axes)
Unique sites:
Ba 0.0000 0.0000 0.0861 x6  9 In 3.55-3.93
In 0.0000 0.0000 0.3446 x6  3 In 2.98
In 0.0000 0.0000 0.5000 x3  6 Ba 3.64


Version x
Ba2In3 | PBE | optimized geometry

Fermi-level density of states: 0.8260 states/eV per atom

Cell lengths 7.2772, 8.7081, 11.4514 Å; angles 90.00, 90.00, 90.00 degrees
With the nearest neighbours (Å) after each atom.
Space group Pbcn (No. 60)
Unique sites:
Ba 0.1290 0.1884 0.0783 x8  8 In 3.62-3.91
In 0.0000 0.1509 0.7500 x4  4 In 3.19-3.22
In 0.1423 0.4735 0.8457 x8  3 In 3.02-3.22


version x has the most favorable energy; the next structure is 0.073 eV/atom above.


Version w
Ba4In | PBE | optimized geometry

Fermi-level density of states: 1.8932 states/eV per atom

Cell lengths 6.8543, 6.8543, 6.8543 Å; angles 90.00, 90.00, 90.00 degrees
With the nearest neighbours (Å) after each atom.
Space group Pm-3m (No. 221)
Unique sites:
Ba 0.0000 0.0000 0.0000 x1  12 Ba 4.85
Ba 0.0000 0.5000 0.5000 x3  2 In 3.43
In 0.5000 0.5000 0.5000 x1  6 Ba 3.43


Version x
Ba4In | PBE | optimized geometry

Fermi-level density of states: 1.4518 states/eV per atom

Cell lengths 18.6143, 17.5245, 13.3319 Å; angles 90.00, 133.06, 90.00 degrees
With the nearest neighbours (Å) after each atom.
Space group C2/c (No. 15)
Unique sites:
Ba 0.0000 0.1139 0.2500 x4  2 In 3.59
Ba 0.0230 0.3221 0.0961 x8  6 Ba 3.99-4.43, 2 In 4.11-4.41
Ba 0.0455 0.1024 0.9553 x8  3 In 3.78-4.06
Ba 0.0968 0.4535 0.7298 x8  2 In 3.59-3.70, 4 Ba 3.97-4.01
Ba 0.2293 0.2252 0.8296 x8  2 In 3.58-3.73
Ba 0.2437 0.4797 0.6118 x8  2 In 3.59-3.90, 2 Ba 3.97-4.01
Ba 0.2500 0.2500 0.5000 x4  2 In 3.65
In 0.0000 0.2758 0.7500 x4  6 Ba 3.70-3.78
In 0.2018 0.0838 0.6112 x8  7 Ba 3.58-3.90


version x has the most favorable energy; the next structure is 0.091 eV/atom above.